Density functional theory data (PBE) for an optimized crystal structure of AlVAu2Br.

Lattice parameters (Å, degrees): 4.9378 5.3601 4.9378 90.00 90.00 90.00
Element x y z (fractional)
Br  0.5000  0.5000  0.5000
Al  0.0000  0.5000  0.0000
V  0.0000  0.0000  0.0000
Au  0.5000  0.0000  0.0000
Au  0.0000  0.0000  0.5000

Values from the calculation:
**Excess energy over the best structure of this formula in the dataset**: 0.1993 eV per atom
**Crystal system**: tetragonal
**E_form (uncorrected)**: 0.741 eV/atom

***

Density functional theory data (PBE) for an optimized crystal structure of ZnCuAu2.

Lattice parameters (Å, degrees): 2.9447 4.5935 9.2600 87.56 90.00 90.00
Element x y z (fractional)
Zn  0.0000  0.7209  0.1162
Cu  0.0000  0.1958  0.3925
Au  0.5000  0.6983  0.3675
Au  0.5000  0.7818  0.8583
Zn  0.0000  0.2791  0.8838
Au  0.5000  0.3017  0.6325
Au  0.5000  0.2182  0.1417
Cu  0.0000  0.8042  0.6075

Values from the calculation:
**Crystal system**: monoclinic
**Energy of formation from the pure elements**: -0.52 eV/f.u.

***

Density functional theory data (PBE) for an optimized crystal structure of Zr2Sc.

Lattice parameters (Å, degrees): 4.5334 4.5334 13.9912 99.32 99.32 90.00
Element x y z (fractional)
Zr  0.0002  0.5002  0.0003
Sc  0.9176  0.9176  0.8353
Sc  0.1676  0.6676  0.3353
Zr  0.4998  0.9998  0.9997
Zr  0.5825  0.5825  0.1650
Zr  0.2498  0.2498  0.4997
Sc  0.3324  0.8324  0.6647
Zr  0.7502  0.7502  0.5003
Zr  0.8325  0.3325  0.6650
Sc  0.0824  0.0824  0.1647
Zr  0.6675  0.1675  0.3350
Zr  0.4175  0.4175  0.8350

Values from the calculation:
**Crystal system**: tetragonal
**Energy of formation from the pure elements**: 0.05 eV/f.u.

***

Copy entry 1 word for word.
Density functional theory data (PBE) for an optimized crystal structure of AlVAu2Br.

Lattice parameters (Å, degrees): 4.9378 5.3601 4.9378 90.00 90.00 90.00
Element x y z (fractional)
Br  0.5000  0.5000  0.5000
Al  0.0000  0.5000  0.0000
V  0.0000  0.0000  0.0000
Au  0.5000  0.0000  0.0000
Au  0.0000  0.0000  0.5000

Values from the calculation:
**Excess energy over the best structure of this formula in the dataset**: 0.1993 eV per atom
**Crystal system**: tetragonal
**E_form (uncorrected)**: 0.741 eV/atom